No. 1
The following is a PBE calculation of NdY2Er6 after structural relaxation, from Alexandria.

a = 3.5850 Å, b = 3.5850 Å, c = 25.9820 Å
α = 90.00°, β = 90.00°, γ = 120.00°
Last column: nearest neighbours and their distance in Å.
Space group P-6m2 (No. 187)
Symmetry-distinct sites (fractional):
Nd (0.0000, 0.0000, 0.0000)  6 Er 3.58, 6 Nd 3.59
Y (0.3333, 0.6667, 0.3284)  6 Er 3.47-3.52, 6 Y 3.59
Er (0.0000, 0.0000, 0.2189)  9 Er 3.46-3.59, 3 Y 3.52
Er (0.0000, 0.0000, 0.4356)  7 Er 3.35-3.59, 3 Y 3.47
Er (0.3333, 0.6667, 0.1123)  9 Er 3.46-3.59, 3 Nd 3.58

As for the distance to the lowest polymorph of the same formula: 2.86 kJ per mole of atoms. The value obtained for the electronic total energy is -4.954 eV per atom. Its density of states at the Fermi level is 15.84 states/eV per cell.

---

No. 2
The following is a PBE calculation of NdYEr5 after structural relaxation, from Alexandria.

a = 11.6118 Å, b = 6.7625 Å, c = 12.0752 Å
α = 90.00°, β = 109.37°, γ = 90.00°
Last column: nearest neighbours and their distance in Å.
Space group C2/c (No. 15)
Symmetry-distinct sites (fractional):
Nd (0.0000, 0.0263, 0.2500)  3 Er 2.96-3.30
Y (0.2500, 0.2500, 0.0000)  4 Er 3.24-3.59
Er (0.0000, 0.4110, 0.7500)  1 Nd 2.96, 2 Er 2.98
Er (0.0785, 0.2738, 0.4991)  4 Er 3.28-3.57, 1 Nd 3.30
Er (0.2203, 0.3615, 0.2504)  2 Er 2.98-3.28, 1 Y 3.24

As for the distance to the lowest polymorph of the same formula: 0.00 kJ per mole of atoms. The value obtained for the electronic total energy is -4.671 eV per atom. Its density of states at the Fermi level is 33.96 states/eV per cell.

---

No. 3
The following is a PBE calculation of Nd6YEr after structural relaxation, from Alexandria.

a = 5.1554 Å, b = 5.1554 Å, c = 10.3128 Å
α = 90.00°, β = 90.00°, γ = 90.00°
Last column: nearest neighbours and their distance in Å.
Space group P4/mmm (No. 123)
Symmetry-distinct sites (fractional):
Nd (0.0000, 0.0000, 0.0000)  8 Nd 3.64, 4 Er 3.65
Nd (0.0000, 0.0000, 0.5000)  4 Y 3.65, 8 Nd 3.66
Nd (0.0000, 0.5000, 0.2486)  8 Nd 3.64-3.66, 2 Er 3.64, 2 Y 3.66
Y (0.5000, 0.5000, 0.5000)  12 Nd 3.65-3.66
Er (0.5000, 0.5000, 0.0000)  12 Nd 3.64-3.65

The value obtained for the electronic total energy is -4.940 eV per atom. Its density of states at the Fermi level is 13.27 states/eV per cell.

---

No. 4
The following is a PBE calculation of Nd12YEr7 after structural relaxation, from Alexandria.

a = 12.2509 Å, b = 12.2509 Å, c = 15.7715 Å
α = 90.00°, β = 90.00°, γ = 120.00°
Last column: nearest neighbours and their distance in Å.
Space group R-3 (No. 148, hexagonal axes)
Symmetry-distinct sites (fractional):
Nd (0.0205, 0.4474, 0.2222)  3 Nd 3.24-3.41, 1 Y 3.52, 1 Er 3.63
Nd (0.0602, 0.5917, 0.5795)  4 Nd 3.19-3.41, 1 Er 3.30
Y (0.0000, 0.0000, 0.5000)  6 Nd 3.52, 6 Er 3.76
Er (0.0000, 0.0000, 0.0000)  6 Nd 3.30
Er (0.0538, 0.1867, 0.2994)  3 Er 3.43-3.53, 6 Nd 3.63-3.77, 1 Y 3.76

As for the distance to the lowest polymorph of the same formula: 0.00 kJ per mole of atoms. The value obtained for the electronic total energy is -4.551 eV per atom. Its density of states at the Fermi level is 112.93 states/eV per cell.

---

No. 5
The following is a PBE calculation of Nd4Y8Er after structural relaxation, from Alexandria.

a = 11.0965 Å, b = 11.0965 Å, c = 13.5585 Å
α = 90.00°, β = 90.00°, γ = 120.00°
Last column: nearest neighbours and their distance in Å.
Space group R-3m (No. 166, hexagonal axes)
Symmetry-distinct sites (fractional):
Nd (0.0000, 0.0000, 0.0000)  8 Y 3.26-3.27
Nd (0.0000, 0.5000, 0.0000)  8 Y 3.44
Y (0.0000, 0.0000, 0.2407)  4 Nd 3.26-3.44, 1 Er 3.52
Y (0.0119, 0.5060, 0.7467)  4 Nd 3.27-3.44, 1 Er 3.52
Er (0.0000, 0.0000, 0.5000)  8 Y 3.52, 6 Nd 3.92

The value obtained for the electronic total energy is -5.284 eV per atom. Its density of states at the Fermi level is 63.85 states/eV per cell.

---

No. 6
The following is a PBE calculation of NdY3Er7 after structural relaxation, from Alexandria.

a = 12.5711 Å, b = 11.1267 Å, c = 5.7630 Å
α = 90.00°, β = 117.21°, γ = 90.00°
Last column: nearest neighbours and their distance in Å.
Space group C2/m (No. 12)
Symmetry-distinct sites (fractional):
Nd (0.0000, 0.0000, 0.0000)  2 Er 2.88
Y (0.0000, 0.2946, 0.5000)  5 Er 3.27-3.45
Y (0.0000, 0.5000, 0.0000)  4 Er 3.17
Er (0.0000, 0.0000, 0.5000)  2 Nd 2.88
Er (0.2079, 0.3058, 0.2077)  2 Y 3.17-3.45, 3 Er 3.27-3.53
Er (0.2087, 0.5000, 0.7081)  1 Nd 3.26, 2 Y 3.27, 6 Er 3.53-3.60

As for the distance to the lowest polymorph of the same formula: 10.41 kJ per mole of atoms. The value obtained for the electronic total energy is -4.832 eV per atom. Its density of states at the Fermi level is 35.22 states/eV per cell.

---

No. 7
The following is a PBE calculation of Nd5Y6Er after structural relaxation, from Alexandria.

a = 6.2645 Å, b = 10.8461 Å, c = 11.9008 Å
α = 90.00°, β = 100.06°, γ = 90.00°
Last column: nearest neighbours and their distance in Å.
Space group C2/m (No. 12)
Symmetry-distinct sites (fractional):
Nd (0.0000, 0.0000, 0.0000)  6 Y 3.61, 6 Nd 3.61-3.62
Nd (0.0000, 0.1665, 0.5000)  6 Y 3.58-3.59, 3 Nd 3.61-3.62, 3 Er 3.62
Nd (0.0000, 0.3333, 0.0000)  6 Y 3.60-3.61, 6 Nd 3.61-3.62
Y (0.2492, 0.5000, 0.2509)  1 Er 3.58, 5 Nd 3.59-3.61, 6 Y 3.61-3.62
Y (0.2503, 0.1664, 0.2512)  5 Nd 3.58-3.61, 1 Er 3.58, 6 Y 3.61-3.62
Er (0.0000, 0.5000, 0.5000)  6 Y 3.58, 6 Nd 3.62

The value obtained for the electronic total energy is -5.587 eV per atom. Its density of states at the Fermi level is 30.23 states/eV per cell.

---

No. 8
The following is a PBE calculation of Nd2Y6Er3 after structural relaxation, from Alexandria.

a = 6.1338 Å, b = 10.6398 Å, c = 11.7206 Å
α = 90.00°, β = 100.13°, γ = 90.00°
Last column: nearest neighbours and their distance in Å.
Space group C2/m (No. 12)
Symmetry-distinct sites (fractional):
Nd (0.0000, 0.1666, 0.0000)  3 Nd 3.54-3.55, 6 Y 3.57
Y (0.2491, 0.1666, 0.7465)  3 Er 3.50-3.51, 6 Y 3.54-3.55, 2 Nd 3.57
Y (0.2490, 0.5000, 0.7468)  3 Er 3.50-3.51, 6 Y 3.54-3.55, 2 Nd 3.57
Er (0.0000, 0.0000, 0.5000)  6 Y 3.50-3.51, 6 Er 3.53-3.56
Er (0.0000, 0.3349, 0.5000)  6 Y 3.50-3.51, 6 Er 3.51-3.56

As for the distance to the lowest polymorph of the same formula: 0.00 kJ per mole of atoms. The value obtained for the electronic total energy is -5.449 eV per atom. Its density of states at the Fermi level is 38.75 states/eV per cell.

---

No. 9
The following is a PBE calculation of Nd2YEr after structural relaxation, from Alexandria.

a = 3.6178 Å, b = 6.1981 Å, c = 6.2634 Å
α = 70.43°, β = 89.99°, γ = 89.87°
Last column: nearest neighbours and their distance in Å.
Space group P-1 (No. 2)
Symmetry-distinct sites (fractional):
Nd (0.0000, 0.0000, 0.0000)  4 Er 3.58-3.59, 2 Y 3.59, 6 Nd 3.62
Nd (0.5000, 0.0000, 0.5000)  4 Y 3.58-3.59, 2 Er 3.59, 6 Nd 3.62
Y (0.0000, 0.5000, 0.5000)  6 Nd 3.58-3.59, 4 Er 3.62, 2 Y 3.62
Er (0.5000, 0.5000, 0.0000)  6 Nd 3.58-3.59, 4 Y 3.62, 2 Er 3.62

As for the distance to the lowest polymorph of the same formula: 0.00 kJ per mole of atoms. The value obtained for the electronic total energy is -5.129 eV per atom. Its density of states at the Fermi level is 4.56 states/eV per cell.

---

No. 10
The following is a PBE calculation of Nd4YEr10 after structural relaxation, from Alexandria.

a = 11.2370 Å, b = 11.2370 Å, c = 7.9492 Å
α = 90.00°, β = 90.00°, γ = 90.00°
Last column: nearest neighbours and their distance in Å.
Space group I4/mmm (No. 139)
Symmetry-distinct sites (fractional):
Nd (0.2275, 0.2275, 0.0000)  8 Er 3.47-3.54, 1 Y 3.61
Y (0.0000, 0.0000, 0.0000)  8 Er 3.31, 4 Nd 3.61
Er (0.0000, 0.2087, 0.2945)  4 Er 3.27-3.32, 1 Y 3.31, 4 Nd 3.47-3.54
Er (0.0000, 0.5000, 0.2500)  4 Er 3.29

The value obtained for the electronic total energy is -4.467 eV per atom. Its density of states at the Fermi level is 43.42 states/eV per cell.

---

Calculated density list, top to bottom, in g/cm3: 7.612 7.941 6.795 7.268 5.015 7.328 5.931 5.838 6.834 7.737